# SrSm4Se5

A relaxed structure of SrSm4Se5 (PBE, the Alexandria database).

**Symmetry**: C2/m
**Calculated volume**: 265.60 Å³/f.u.
**Total energy**: -56.5 eV/cell
**ΔE_f (raw)**: -1788.2 kJ/mol of formula units
**DOS(E_F)**: 3.30 states/eV/f.u.
**Size of the total moment**: 0.00 μB/f.u.

Lattice parameters (Å, degrees): 4.197 7.337 9.440 75.00 77.16 73.38
Element x y z (fractional)
Sm: 0.404 0.788 0.404
Sm: 0.196 0.394 0.213
Se: 0.000 0.500 0.500
Se: 0.199 0.908 0.694
Sr: 0.000 0.000 0.000
Se: 0.392 0.315 0.900
Se: 0.801 0.092 0.306
Se: 0.608 0.685 0.100
Sm: 0.596 0.212 0.596
Sm: 0.804 0.606 0.787